Computed, not measured: an optimized crystal structure of K2MgCd10 at the GGA-PBE level of DFT.

Properties
Formation energy in eV per atom: 0.00
Size of the total moment in μB/f.u.: 0.000
Space group: Pbam (55)

abc: 6.3462 12.5202 10.0974
angles: 90.00 90.00 90.00
Fractional coordinates of all 26 atoms:
Cd 0.7251 0.6927 0.4241
Cd 0.0000 0.0666 0.2696
Mg 0.0000 0.5000 0.5000
Cd 0.7251 0.3073 0.5759
K 0.5000 0.9400 0.2483
Cd 0.7251 0.1927 0.0759
Cd 0.0000 0.6134 0.9542
Cd 0.0000 0.1976 0.8233
Cd 0.2749 0.6927 0.4241
Cd 0.0000 0.5666 0.2304
K 0.5000 0.0600 0.7517
Cd 0.0000 0.3024 0.3233
Cd 0.2749 0.3073 0.5759
Cd 0.0000 0.4334 0.7696
Cd 0.0000 0.1134 0.5458
Mg 0.0000 0.0000 0.0000
Cd 0.0000 0.8024 0.1767
Cd 0.2749 0.8073 0.9241
K 0.5000 0.4400 0.2517
Cd 0.0000 0.8866 0.4542
Cd 0.2749 0.1927 0.0759
Cd 0.0000 0.6976 0.6767
K 0.5000 0.5600 0.7483
Cd 0.0000 0.9334 0.7304
Cd 0.7251 0.8073 0.9241
Cd 0.0000 0.3866 0.0458